[1]
Material: PaZnTeO6
Method: DFT, GGA-PBE
State: relaxed

Cell lengths 5.6086, 5.6086, 9.0019 Å; angles 90.00, 90.00, 120.00 degrees
Closest atoms and distances in Å follow each position.
Sites, in units of the cell vectors:
O1 0.3319 0.9829 0.6297  1 Te 2.08, 1 Pa 2.21, 1 Zn 2.24
O2 0.6510 0.9829 0.8703  1 Te 2.08, 1 Pa 2.21, 1 Zn 2.24
O3 0.0171 0.3490 0.6297  1 Te 2.08, 1 Pa 2.21, 1 Zn 2.24
O4 0.3319 0.3490 0.8703  1 Te 2.08, 1 Pa 2.21, 1 Zn 2.24
O5 0.3490 0.3319 0.3703  1 Te 2.08, 1 Pa 2.21, 1 Zn 2.24
O6 0.6681 0.6510 0.1297  1 Te 2.08, 1 Pa 2.21, 1 Zn 2.24
O7 0.0171 0.6681 0.8703  1 Te 2.08, 1 Pa 2.21, 1 Zn 2.24
O8 0.6510 0.6681 0.6297  1 Te 2.08, 1 Pa 2.21, 1 Zn 2.24
O9 0.3490 0.0171 0.1297  1 Te 2.08, 1 Pa 2.21, 1 Zn 2.24
O10 0.9829 0.3319 0.1297  1 Te 2.08, 1 Pa 2.21, 1 Zn 2.24
O11 0.9829 0.6510 0.3703  1 Te 2.08, 1 Pa 2.21, 1 Zn 2.24
O12 0.6681 0.0171 0.3703  1 Te 2.08, 1 Pa 2.21, 1 Zn 2.24
Pa1 0.3333 0.6667 0.2500  6 O 2.21
Pa2 0.6667 0.3333 0.7500  6 O 2.21
Te1 0.6667 0.3333 0.2500  6 O 2.08
Te2 0.3333 0.6667 0.7500  6 O 2.08
Zn1 0.0000 0.0000 0.5000  6 O 2.24
Zn2 0.0000 0.0000 0.0000  6 O 2.24

Computed properties:
As for the uncorrected formation energy: -16.52 eV/f.u. Its crystal system is trigonal. The electronic total energy is -60.2 eV/f.u.

***

[2]
Material: PaZnTe2O8
Method: DFT, GGA-PBE
State: relaxed

Cell lengths 6.1467, 6.1467, 6.1467 Å; angles 109.80, 109.80, 108.81 degrees
Closest atoms and distances in Å follow each position.
Sites, in units of the cell vectors:
O1 0.2995 0.0996 0.8001  1 Te 2.01, 1 Pa 2.15
O2 0.9473 0.6422 0.6949  1 Te 1.97, 1 Zn 2.19
O3 0.3578 0.0527 0.3051  1 Te 1.97, 1 Zn 2.19
O4 0.5006 0.7005 0.8001  1 Te 2.01, 1 Pa 2.15
O5 0.9473 0.2524 0.3051  1 Te 1.97, 1 Zn 2.19
O6 0.2995 0.4994 0.1999  1 Te 2.01, 1 Pa 2.15
O7 0.7476 0.0527 0.6949  1 Te 1.97, 1 Zn 2.19
O8 0.9004 0.7005 0.1999  1 Te 2.01, 1 Pa 2.15
Pa1 0.2500 0.7500 0.5000  4 O 2.15
Te1 0.7500 0.2500 0.5000  4 O 1.97
Te2 0.5000 0.5000 0.0000  4 O 2.01
Zn1 0.0000 0.0000 0.0000  4 O 2.19

Computed properties:
As for the uncorrected formation energy: -18.10 eV/f.u. Its crystal system is tetragonal. The electronic total energy is -74.8 eV/f.u.

***

[3]
Material: Th3PaO
Method: DFT, GGA-PBE
State: relaxed

Cell lengths 5.0112, 5.0112, 5.0112 Å; angles 90.00, 90.00, 90.00 degrees
Closest atoms and distances in Å follow each position.
Sites, in units of the cell vectors:
Th1 0.5000 0.0000 0.0000  2 O 2.51
Th2 0.0000 0.5000 0.0000  2 O 2.51
Th3 0.0000 0.0000 0.5000  2 O 2.51
O1 0.0000 0.0000 0.0000  6 Th 2.51
Pa1 0.5000 0.5000 0.5000  12 Th 3.54

Computed properties:
As for the uncorrected formation energy: -5.09 eV/f.u. Its crystal system is cubic. The electronic total energy is -41.8 eV/f.u.

***

[4]
Material: ThPa2O7
Method: DFT, GGA-PBE
State: relaxed

Cell lengths 3.9075, 3.9075, 10.8936 Å; angles 79.67, 79.67, 60.00 degrees
Closest atoms and distances in Å follow each position.
Sites, in units of the cell vectors:
O1 0.7208 0.7208 0.8377  3 Pa 2.29, 3 O 2.55
O2 0.1402 0.1402 0.5793  1 Pa 2.38, 3 Th 2.41
O3 0.4248 0.4248 0.7257  3 Pa 2.40, 1 Th 2.41, 3 O 2.55
O4 0.8598 0.8598 0.4207  1 Pa 2.38, 3 Th 2.41
O5 0.2792 0.2792 0.1623  3 Pa 2.29, 3 O 2.55
O6 0.5752 0.5752 0.2743  3 Pa 2.40, 1 Th 2.41, 3 O 2.55
O7 0.0000 0.0000 0.0000  2 Pa 2.10
Th1 0.5000 0.5000 0.5000  8 O 2.41
Pa1 0.9343 0.9343 0.1970  4 O 2.10-2.29
Pa2 0.0657 0.0657 0.8030  4 O 2.10-2.29

Computed properties:
As for the uncorrected formation energy: -36.77 eV/f.u. Its crystal system is trigonal. The electronic total energy is -97.9 eV/f.u.

***

[5]
Material: ThPa2O8
Method: DFT, GGA-PBE
State: relaxed

Cell lengths 3.8541, 8.8018, 5.8104 Å; angles 106.58, 90.00, 102.65 degrees
Closest atoms and distances in Å follow each position.
Sites, in units of the cell vectors:
Pa1 0.2172 0.4344 0.2153  7 O 2.10-2.35
Pa2 0.7828 0.5656 0.7847  7 O 2.10-2.35
Th1 0.5000 0.0000 0.0000  6 O 2.19-2.43
O1 0.6902 0.3805 0.9744  3 Pa 2.18-2.35
O2 0.7790 0.5581 0.4057  3 Pa 2.18-2.32
O3 0.9107 0.8214 0.8892  1 Pa 2.10
O4 0.4994 0.9988 0.6219  1 O 1.42
O5 0.3098 0.6195 0.0256  3 Pa 2.18-2.35
O6 0.0893 0.1786 0.1108  1 Pa 2.10
O7 0.2210 0.4419 0.5943  3 Pa 2.18-2.32
O8 0.5006 0.0012 0.3781  1 O 1.42

Computed properties:
As for the uncorrected formation energy: -34.05 eV/f.u. Its crystal system is monoclinic. The electronic total energy is -100.1 eV/f.u.

***

[6]
Material: Th2PaO8
Method: DFT, GGA-PBE
State: relaxed

Cell lengths 3.9324, 6.7583, 7.0667 Å; angles 98.69, 90.00, 106.91 degrees
Closest atoms and distances in Å follow each position.
Sites, in units of the cell vectors:
O1 0.8026 0.6051 0.4332  3 Th 2.30-2.40
O2 0.0803 0.1606 0.1344  2 Pa 2.35, 1 Th 2.40, 3 O 2.54-2.58
O3 0.9197 0.8394 0.8656  2 Pa 2.35, 1 Th 2.40, 3 O 2.54-2.58
O4 0.3063 0.6126 0.9338  1 Pa 2.47, 3 Th 2.51, 6 O 2.54-2.75
O5 0.4472 0.8944 0.2527  1 Pa 2.01
O6 0.6937 0.3874 0.0662  1 Pa 2.47, 3 Th 2.51, 6 O 2.54-2.75
O7 0.5528 0.1056 0.7473  1 Pa 2.01
O8 0.1974 0.3949 0.5668  3 Th 2.30-2.40
Th1 0.2630 0.5261 0.2674  8 O 2.30-2.51
Th2 0.7369 0.4739 0.7326  8 O 2.30-2.51
Pa1 0.5000 0.0000 0.0000  2 O 2.01

Computed properties:
As for the uncorrected formation energy: -31.67 eV/f.u. Its crystal system is monoclinic. The electronic total energy is -95.7 eV/f.u.

***

[7]
Material: ThPa3Tl4O12
Method: DFT, GGA-PBE
State: relaxed

Cell lengths 7.6978, 7.6978, 7.6978 Å; angles 109.47, 109.47, 109.47 degrees
Closest atoms and distances in Å follow each position.
Sites, in units of the cell vectors:
Tl1 0.5000 0.0000 0.0000  12 O 3.14
Tl2 0.5000 0.5000 0.5000  12 O 3.14
Tl3 0.0000 0.5000 0.0000  12 O 3.14
Tl4 0.0000 0.0000 0.5000  12 O 3.14
O1 0.7402 0.0000 0.7402  1 Pa 2.14, 1 Th 2.31
O2 0.7500 0.2500 0.5000  2 Pa 2.22
O3 0.2598 0.0000 0.2598  1 Pa 2.14, 1 Th 2.31
O4 0.5000 0.7500 0.2500  2 Pa 2.22
O5 0.2500 0.5000 0.7500  2 Pa 2.22
O6 0.2598 0.2598 0.0000  1 Pa 2.14, 1 Th 2.31
O7 0.0000 0.2598 0.2598  1 Pa 2.14, 1 Th 2.31
O8 0.0000 0.7402 0.7402  1 Pa 2.14, 1 Th 2.31
O9 0.2500 0.7500 0.5000  2 Pa 2.22
O10 0.7402 0.7402 0.0000  1 Pa 2.14, 1 Th 2.31
O11 0.5000 0.2500 0.7500  2 Pa 2.22
O12 0.7500 0.5000 0.2500  2 Pa 2.22
Pa1 0.5000 0.0000 0.5000  6 O 2.14-2.22
Pa2 0.5000 0.5000 0.0000  6 O 2.14-2.22
Pa3 0.0000 0.5000 0.5000  6 O 2.14-2.22
Th1 0.0000 0.0000 0.0000  6 O 2.31

Computed properties:
As for the uncorrected formation energy: -52.71 eV/f.u. Its crystal system is cubic. The electronic total energy is -157.6 eV/f.u.

***

[8]
Material: ThPa3Tl2O12
Method: DFT, GGA-PBE
State: relaxed

Cell lengths 8.3042, 8.3042, 8.3042 Å; angles 59.76, 59.76, 59.76 degrees
Closest atoms and distances in Å follow each position.
Sites, in units of the cell vectors:
Tl1 0.6889 0.6889 0.6889  6 O 2.98-3.04
Tl2 0.3111 0.3111 0.3111  6 O 2.98-3.04
Pa1 0.0000 0.5000 0.0000  6 O 2.11-2.17
Pa2 0.0000 0.0000 0.5000  6 O 2.11-2.17
Pa3 0.5000 0.0000 0.0000  6 O 2.11-2.17
Th1 0.0000 0.0000 0.0000  6 O 2.31
O1 0.9354 0.9354 0.3276  1 Pa 2.11, 1 Th 2.31
O2 0.0646 0.0646 0.6724  1 Pa 2.11, 1 Th 2.31
O3 0.9354 0.3276 0.9354  1 Pa 2.11, 1 Th 2.31
O4 0.3276 0.9354 0.9354  1 Pa 2.11, 1 Th 2.31
O5 0.0428 0.6941 0.6941  2 Pa 2.17
O6 0.6724 0.0646 0.0646  1 Pa 2.11, 1 Th 2.31
O7 0.6941 0.6941 0.0428  2 Pa 2.17
O8 0.6941 0.0428 0.6941  2 Pa 2.17
O9 0.3059 0.9572 0.3059  2 Pa 2.17
O10 0.0646 0.6724 0.0646  1 Pa 2.11, 1 Th 2.31
O11 0.3059 0.3059 0.9572  2 Pa 2.17
O12 0.9572 0.3059 0.3059  2 Pa 2.17

Computed properties:
As for the uncorrected formation energy: -47.79 eV/f.u. Its crystal system is trigonal. The electronic total energy is -147.9 eV/f.u.

***

[9]
Material: ThPaTl2O8
Method: DFT, GGA-PBE
State: relaxed

Cell lengths 6.3066, 6.3066, 6.3066 Å; angles 111.50, 111.50, 105.48 degrees
Closest atoms and distances in Å follow each position.
Sites, in units of the cell vectors:
O1 0.2739 0.0956 0.8216  1 Tl 2.14, 1 Th 2.29
O2 0.3394 0.0320 0.3074  1 Tl 2.15, 1 Pa 2.20
O3 0.2739 0.4523 0.1784  1 Tl 2.14, 1 Th 2.29
O4 0.9680 0.6606 0.6926  1 Tl 2.15, 1 Pa 2.20
O5 0.9680 0.2754 0.3074  1 Tl 2.15, 1 Pa 2.20
O6 0.5477 0.7261 0.8216  1 Tl 2.14, 1 Th 2.29
O7 0.7246 0.0320 0.6926  1 Tl 2.15, 1 Pa 2.20
O8 0.9044 0.7261 0.1784  1 Tl 2.14, 1 Th 2.29
Tl1 0.7500 0.2500 0.5000  4 O 2.15
Tl2 0.5000 0.5000 0.0000  4 O 2.14
Pa1 0.0000 0.0000 0.0000  8 O 2.20-2.45
Th1 0.2500 0.7500 0.5000  8 O 2.29-2.55

Computed properties:
As for the uncorrected formation energy: -25.31 eV/f.u. Its crystal system is tetragonal. The electronic total energy is -86.6 eV/f.u.